[1]
Entry from Alexandria via LeMat-Bulk: Ba2CaS after structural relaxation (PBE).

```
data_Ba2CaS
_symmetry_space_group_name_H-M 'I -4 2 d'
_symmetry_Int_Tables_number 122
_symmetry_space_group_name_Hall 'I -4 2bw'
_cell_length_a 11.684
_cell_length_b 11.684
_cell_length_c 5.461
_cell_angle_alpha 90.00
_cell_angle_beta 90.00
_cell_angle_gamma 90.00
loop_
_atom_site_label
_atom_site_fract_x
_atom_site_fract_y
_atom_site_fract_z
_atom_site_occupancy
Ba1 0.100 0.750 0.125 1
Ca1 0.000 0.000 0.500 1
S1 0.000 0.000 0.000 1
```

Calculated values
- Formation energy (no corrections): -18.68 kcal/mol of atoms
- DFT total energy: -3.304 eV per atom

***

[2]
Entry from Alexandria via LeMat-Bulk: BP2Au after structural relaxation (PBE).

```
data_BP2Au
_symmetry_space_group_name_H-M 'P 1'
_symmetry_Int_Tables_number 1
_cell_length_a 3.986
_cell_length_b 4.419
_cell_length_c 4.508
_cell_angle_alpha 98.23
_cell_angle_beta 97.60
_cell_angle_gamma 115.31
loop_
_symmetry_equiv_pos_as_xyz
'x,y,z'
loop_
_atom_site_label
_atom_site_fract_x
_atom_site_fract_y
_atom_site_fract_z
_atom_site_occupancy
B1 0.000 0.000 0.000 1
P1 0.436 0.318 0.897 1
P2 0.899 0.713 0.284 1
Au1 0.503 0.822 0.637 1
```

Calculated values
- DFT total energy: -4.920 eV per atom
- Energy of formation from the pure elements: 0.27 eV/atom

***

What is the DFT total energy in the second record?
-4.920 eV per atom